No. 1
The following is a PBE-GGA calculation of TbFe11Mo after structural relaxation, from Alexandria.

Summary:
VASP energy (eV/atom): -8.3622
Total moment (Bohr magnetons per cell): 20.98

Cell and atoms, written as CIF:
```
data_TbFe11Mo
_chemical_formula_sum 'Tb1 Fe11 Mo1'
_cell_length_a 6.441
_cell_length_b 6.441
_cell_length_c 6.441
_cell_angle_alpha 137.26
_cell_angle_beta 98.15
_cell_angle_gamma 97.11
_symmetry_space_group_name_H-M 'P 1'
_symmetry_Int_Tables_number 1
loop_
_symmetry_equiv_pos_as_xyz
'x,y,z'
loop_
_atom_site_label
_atom_site_type_symbol
_atom_site_fract_x
_atom_site_fract_y
_atom_site_fract_z
Tb1 Tb 0.000 0.000 0.000
Fe1 Fe 0.005 0.005 0.499
Fe2 Fe 0.005 0.506 0.000
Fe3 Fe 0.228 0.508 0.720
Fe4 Fe 0.235 0.735 0.500
Fe5 Fe 0.364 0.007 0.358
Fe6 Fe 0.506 0.005 0.000
Fe7 Fe 0.506 0.506 0.501
Fe8 Fe 0.648 0.648 0.000
Fe9 Fe 0.649 0.007 0.642
Fe10 Fe 0.774 0.274 0.500
Fe11 Fe 0.788 0.508 0.280
Mo1 Mo 0.374 0.374 0.000
```


No. 2
The following is a PBE-GGA calculation of TbFe2Mo after structural relaxation, from Alexandria.

Summary:
VASP energy (eV/atom): -7.5418
Total moment (Bohr magnetons per cell): 2.21

Cell and atoms, written as CIF:
```
data_TbFe2Mo
_chemical_formula_sum 'Tb1 Fe2 Mo1'
_cell_length_a 8.118
_cell_length_b 8.118
_cell_length_c 8.118
_cell_angle_alpha 22.14
_cell_angle_beta 22.14
_cell_angle_gamma 22.14
_symmetry_space_group_name_H-M 'P 1'
_symmetry_Int_Tables_number 1
loop_
_symmetry_equiv_pos_as_xyz
'x,y,z'
loop_
_atom_site_label
_atom_site_type_symbol
_atom_site_fract_x
_atom_site_fract_y
_atom_site_fract_z
Tb1 Tb 0.000 0.000 0.000
Fe1 Fe 0.238 0.238 0.238
Fe2 Fe 0.762 0.762 0.762
Mo1 Mo 0.500 0.500 0.500
```


No. 3
The following is a PBE-GGA calculation of TbFe9Mo3 after structural relaxation, from Alexandria.

Summary:
VASP energy (eV/atom): -8.7257
Total moment (Bohr magnetons per cell): 15.07

Cell and atoms, written as CIF:
```
data_TbFe9Mo3
_chemical_formula_sum 'Tb1 Fe9 Mo3'
_cell_length_a 6.529
_cell_length_b 6.529
_cell_length_c 6.529
_cell_angle_alpha 137.08
_cell_angle_beta 97.80
_cell_angle_gamma 97.58
_symmetry_space_group_name_H-M 'P 1'
_symmetry_Int_Tables_number 1
loop_
_symmetry_equiv_pos_as_xyz
'x,y,z'
loop_
_atom_site_label
_atom_site_type_symbol
_atom_site_fract_x
_atom_site_fract_y
_atom_site_fract_z
Tb1 Tb 0.000 0.000 0.000
Fe1 Fe 0.209 0.709 0.500
Fe2 Fe 0.212 0.488 0.724
Fe3 Fe 0.349 0.349 0.000
Fe4 Fe 0.490 0.488 0.498
Fe5 Fe 0.490 0.992 0.001
Fe6 Fe 0.765 0.488 0.276
Fe7 Fe 0.774 0.274 0.500
Fe8 Fe 0.990 0.488 0.999
Fe9 Fe 0.990 0.992 0.502
Mo1 Mo 0.344 0.987 0.357
Mo2 Mo 0.629 0.987 0.643
Mo3 Mo 0.633 0.633 0.000
```


No. 4
The following is a PBE-GGA calculation of FeTc2Mo after structural relaxation, from Alexandria.

Summary:
VASP energy (eV/atom): -9.8618
Total moment (Bohr magnetons per cell): 1.57

Cell and atoms, written as CIF:
```
data_FeTc2Mo
_chemical_formula_sum 'Fe1 Tc2 Mo1'
_cell_length_a 2.723
_cell_length_b 3.844
_cell_length_c 5.413
_cell_angle_alpha 90.00
_cell_angle_beta 90.00
_cell_angle_gamma 90.00
_symmetry_space_group_name_H-M 'P 1'
_symmetry_Int_Tables_number 1
loop_
_symmetry_equiv_pos_as_xyz
'x,y,z'
loop_
_atom_site_label
_atom_site_type_symbol
_atom_site_fract_x
_atom_site_fract_y
_atom_site_fract_z
Fe1 Fe 0.000 0.000 0.000
Tc1 Tc 0.000 0.000 0.513
Tc2 Tc 0.500 0.500 0.754
Mo1 Mo 0.500 0.500 0.242
```


No. 5
The following is a PBE-GGA calculation of Fe2TcMo after structural relaxation, from Alexandria.

Summary:
VASP energy (eV/atom): -9.4279
Energy above the most stable polymorph in this dataset (eV/atom): 0.032
Total moment (Bohr magnetons per cell): 4.77

Cell and atoms, written as CIF:
```
data_Fe2TcMo
_chemical_formula_sum 'Fe2 Tc1 Mo1'
_cell_length_a 3.099
_cell_length_b 4.155
_cell_length_c 4.225
_cell_angle_alpha 90.00
_cell_angle_beta 90.00
_cell_angle_gamma 90.00
_symmetry_space_group_name_H-M 'P 1'
_symmetry_Int_Tables_number 1
loop_
_symmetry_equiv_pos_as_xyz
'x,y,z'
loop_
_atom_site_label
_atom_site_type_symbol
_atom_site_fract_x
_atom_site_fract_y
_atom_site_fract_z
Fe1 Fe 0.000 0.000 0.000
Fe2 Fe 0.500 0.500 0.000
Tc1 Tc 0.000 0.500 0.500
Mo1 Mo 0.500 0.000 0.500
```


No. 6
The following is a PBE-GGA calculation of FeTcMo2 after structural relaxation, from Alexandria.

Summary:
VASP energy (eV/atom): -9.9984
Energy above the most stable polymorph in this dataset (eV/atom): 0.021
Total moment (Bohr magnetons per cell): 2.43

Cell and atoms, written as CIF:
```
data_FeTcMo2
_chemical_formula_sum 'Fe1 Tc1 Mo2'
_cell_length_a 4.302
_cell_length_b 4.302
_cell_length_c 3.156
_cell_angle_alpha 90.00
_cell_angle_beta 90.00
_cell_angle_gamma 90.00
_symmetry_space_group_name_H-M 'P 1'
_symmetry_Int_Tables_number 1
loop_
_symmetry_equiv_pos_as_xyz
'x,y,z'
loop_
_atom_site_label
_atom_site_type_symbol
_atom_site_fract_x
_atom_site_fract_y
_atom_site_fract_z
Fe1 Fe 0.000 0.000 0.000
Tc1 Tc 0.500 0.500 0.000
Mo1 Mo 0.000 0.500 0.500
Mo2 Mo 0.500 0.000 0.500
```


No. 7
The following is a PBE-GGA calculation of FeTc2Mo after structural relaxation, from Alexandria.

Summary:
VASP energy (eV/atom): -9.8507
Total moment (Bohr magnetons per cell): 2.52

Cell and atoms, written as CIF:
```
data_FeTc2Mo
_chemical_formula_sum 'Fe1 Tc2 Mo1'
_cell_length_a 3.169
_cell_length_b 4.231
_cell_length_c 4.267
_cell_angle_alpha 90.00
_cell_angle_beta 90.00
_cell_angle_gamma 90.00
_symmetry_space_group_name_H-M 'P 1'
_symmetry_Int_Tables_number 1
loop_
_symmetry_equiv_pos_as_xyz
'x,y,z'
loop_
_atom_site_label
_atom_site_type_symbol
_atom_site_fract_x
_atom_site_fract_y
_atom_site_fract_z
Fe1 Fe 0.000 0.000 0.000
Tc1 Tc 0.000 0.500 0.500
Tc2 Tc 0.500 0.500 0.000
Mo1 Mo 0.500 0.000 0.500
```


No. 8
The following is a PBE-GGA calculation of FeTc2Mo after structural relaxation, from Alexandria.

Summary:
VASP energy (eV/atom): -9.8698
Total moment (Bohr magnetons per cell): 2.83

Cell and atoms, written as CIF:
```
data_FeTc2Mo
_chemical_formula_sum 'Fe1 Tc2 Mo1'
_cell_length_a 2.664
_cell_length_b 4.293
_cell_length_c 5.141
_cell_angle_alpha 90.00
_cell_angle_beta 101.96
_cell_angle_gamma 90.00
_symmetry_space_group_name_H-M 'P 1'
_symmetry_Int_Tables_number 1
loop_
_symmetry_equiv_pos_as_xyz
'x,y,z'
loop_
_atom_site_label
_atom_site_type_symbol
_atom_site_fract_x
_atom_site_fract_y
_atom_site_fract_z
Fe1 Fe 0.000 0.000 0.000
Tc1 Tc 0.225 0.500 0.746
Tc2 Tc 0.535 0.000 0.506
Mo1 Mo 0.748 0.500 0.237
```